The following is a PBE calculation of a relaxed structure of SrLiN2, from the Alexandria database.

Computed properties:
Energy above the lowest structure with this stoichiometry (meV/atom): 0
Space-group type: No. 141
E_form (uncorrected) (eV per atom): 0.202
ρ (g/cm³): 3.91
E_tot (Ry per atom): -0.357

Structure (CIF):
```
data_SrLiN2
_chemical_formula_sum 'Sr2 Li2 N4'
_symmetry_space_group_name_H-M 'P 1'
_symmetry_Int_Tables_number 1
_cell_length_a 4.010
_cell_length_b 4.010
_cell_length_c 7.073
_cell_angle_alpha 73.53
_cell_angle_beta 73.53
_cell_angle_gamma 90.00
loop_
_symmetry_equiv_pos_as_xyz
'x,y,z'
loop_
_atom_site_label
_atom_site_type_symbol
_atom_site_fract_x
_atom_site_fract_y
_atom_site_fract_z
_atom_site_occupancy
Sr1 Sr 0.000 0.000 0.000 1
Sr2 Sr 0.750 0.250 0.500 1
Li1 Li 0.500 0.500 0.000 1
Li2 Li 0.250 0.750 0.500 1
N1 N 0.375 0.125 0.250 1
N2 N 0.375 0.625 0.250 1
N3 N 0.375 0.625 0.750 1
N4 N 0.875 0.625 0.750 1
```